(1)
{"formula": "In3Te", "functional": "PBEsol", "state": "relaxed", "raw_formation_energy_kj_per_mol_atoms": -8, "dft_energy_ev_per_atom": -3.1993, "lattice_angstrom": [[-1.954, 2.552, 5.395], [1.954, -2.552, 5.395], [1.954, 2.552, -5.395]], "species": ["In", "In", "In", "Te"], "fractional_positions": [[0.000, 0.000, 0.000], [0.259, 0.759, 0.500], [0.741, 0.241, 0.500], [0.500, 0.500, 0.000]]}

=====

(2)
{"formula": "CuH3NCl", "functional": "PBEsol", "state": "relaxed", "dft_energy_ev_per_atom": -4.6059, "lattice_angstrom": [[-4.090, 4.090, 4.090], [4.090, -4.090, 4.090], [4.090, 4.090, -4.090]], "species": ["Cu", "Cu", "Cu", "Cu", "H", "H", "H", "H", "H", "H", "H", "H", "H", "H", "H", "H", "N", "N", "N", "N", "Cl", "Cl", "Cl", "Cl"], "fractional_positions": [[0.000, 0.745, 0.500], [0.500, 0.000, 0.745], [0.745, 0.500, 0.000], [0.755, 0.755, 0.755], [0.010, 0.480, 0.649], [0.020, 0.030, 0.169], [0.030, 0.169, 0.020], [0.139, 0.470, 0.490], [0.169, 0.020, 0.030], [0.331, 0.361, 0.851], [0.361, 0.851, 0.331], [0.470, 0.490, 0.139], [0.480, 0.649, 0.010], [0.490, 0.139, 0.470], [0.649, 0.010, 0.480], [0.851, 0.331, 0.361], [0.000, 0.480, 0.500], [0.020, 0.020, 0.020], [0.480, 0.500, 0.000], [0.500, 0.000, 0.480], [0.000, 0.039, 0.500], [0.039, 0.500, 0.000], [0.461, 0.461, 0.461], [0.500, 0.000, 0.039]]}

=====

(3)
{"formula": "MnAl", "functional": "PBEsol", "state": "relaxed", "dft_energy_ev_per_atom": -7.1234, "delta_e_f_mev_per_atom": -197, "lattice_angstrom": [[2.735, 0.000, 0.000], [0.000, 2.735, 0.000], [0.000, 0.000, 3.404]], "species": ["Mn", "Al"], "fractional_positions": [[0.000, 0.000, 0.000], [0.500, 0.500, 0.500]]}

=====

(4)
{"formula": "KMo2H", "functional": "PBEsol", "state": "relaxed", "dft_energy_ev_per_atom": -5.8238, "relative_energy_mev_per_atom": 0, "lattice_angstrom": [[0.000, 4.093, 4.093], [4.093, 0.000, 4.093], [4.093, 4.093, 0.000]], "species": ["K", "K", "Mo", "Mo", "Mo", "Mo", "H", "H"], "fractional_positions": [[0.125, 0.125, 0.125], [0.875, 0.875, 0.875], [0.000, 0.500, 0.500], [0.500, 0.000, 0.500], [0.500, 0.500, 0.000], [0.500, 0.500, 0.500], [0.375, 0.375, 0.375], [0.625, 0.625, 0.625]]}

=====

(5)
{"formula": "Li4TlCd", "functional": "PBEsol", "state": "relaxed", "dft_energy_ev_per_atom": -2.0482, "delta_e_f_mev_per_atom": -99, "lattice_angstrom": [[0.000, 3.758, 3.758], [3.758, 0.000, 3.758], [3.758, 3.758, 0.000]], "species": ["Li", "Li", "Li", "Li", "Tl", "Cd"], "fractional_positions": [[0.125, 0.125, 0.125], [0.125, 0.125, 0.625], [0.125, 0.625, 0.125], [0.625, 0.125, 0.125], [0.500, 0.500, 0.500], [0.750, 0.750, 0.750]]}

=====

(6)
{"formula": "Ni2AgSbP", "functional": "PBEsol", "state": "relaxed", "raw_formation_energy_kj_per_mol_atoms": 35, "dft_energy_ev_per_atom": -4.8363, "lattice_angstrom": [[4.147, 0.000, 0.000], [0.000, 4.147, 0.000], [0.000, 0.000, 5.231]], "species": ["Ni", "Ni", "Ag", "Sb", "P"], "fractional_positions": [[0.000, 0.500, 0.000], [0.500, 0.000, 0.000], [0.000, 0.000, 0.500], [0.500, 0.500, 0.500], [0.500, 0.500, 0.000]]}